Entry P
Below is crystalline CeAlCo4 at its relaxed geometry, with properties calculated at the PBE-GGA level.

extended XYZ file:
```
6
Lattice="3.881 0.000 0.000 0.000 5.066 -0.002 0.000 2.536 4.385" Properties=species:S:1:pos:R:3 pbc="T T T"
Co 1.940 5.069 4.357
Co 1.940 6.311 2.203
Co 0.000 5.068 2.922
Ce 0.000 5.066 -0.002
Al 0.000 2.533 1.460
Co 1.940 3.823 2.204
```

Properties
Its total moment is 0.53 μB per atom.

Entry Q
Below is crystalline CeAlCo4 at its relaxed geometry, with properties calculated at the PBE-GGA level.

extended XYZ file:
```
6
Lattice="4.898 0.000 0.000 2.449 4.242 0.000 2.449 1.414 3.999" Properties=species:S:1:pos:R:3 pbc="T T T"
Co 6.137 3.543 2.506
Co 4.898 1.397 2.506
Ce 2.449 1.414 1.000
Co 3.659 3.543 2.506
Co 4.898 2.828 0.482
Al 0.000 0.000 0.000
```

Properties
Its total moment is 0.46 μB per atom.

Entry R
Below is crystalline CeAlCo4 at its relaxed geometry, with properties calculated at the PBE-GGA level.

extended XYZ file:
```
6
Lattice="4.072 0.000 0.000 0.000 4.894 -0.025 0.000 2.363 4.286" Properties=species:S:1:pos:R:3 pbc="T T T"
Co 0.000 5.020 2.947
Ce 0.000 4.894 -0.025
Co 2.036 6.075 2.118
Co 0.000 2.237 1.313
Al 2.036 3.628 2.130
Co 2.036 2.447 -0.013
```

Properties
Its total moment is 0.49 μB per atom.

Question: which arrangement is favored energetically? Ranking from most to least stable: entry R, entry P, entry Q.

Entry P
Below is crystalline CeAl4Cu2 at its relaxed geometry, with properties calculated at the PBE-GGA level.

extended XYZ file:
```
28
Lattice="4.144 0.000 0.000 0.000 6.895 0.000 0.000 0.000 16.994" Properties=species:S:1:pos:R:3 pbc="T T T"
Al 3.108 1.211 13.780
Cu 1.036 4.785 9.179
Al 3.108 2.237 5.283
Al 3.108 5.218 16.377
Al 3.108 5.441 13.659
Al 1.036 5.684 3.214
Al 3.108 4.901 5.162
Cu 3.108 0.152 3.985
Cu 3.108 2.109 7.815
Al 3.108 0.025 1.554
Al 1.036 1.994 11.832
Ce 1.036 3.399 14.954
Ce 1.036 0.048 6.457
Al 1.036 1.453 3.335
Al 1.036 4.658 11.711
Al 3.108 5.124 7.880
Al 3.108 3.422 10.050
Cu 3.108 3.295 12.482
Cu 1.036 5.557 0.682
Al 1.036 6.870 15.440
Al 1.036 1.771 9.114
Cu 3.108 1.338 16.312
Cu 1.036 3.600 4.512
Ce 3.108 6.847 10.537
Ce 3.108 3.495 2.040
Al 1.036 3.472 6.943
Cu 1.036 6.742 13.009
Al 1.036 1.676 0.617
```

Properties
Its total moment is 0.08 μB per atom.

Entry Q
Below is crystalline CeAl4Cu2 at its relaxed geometry, with properties calculated at the PBE-GGA level.

extended XYZ file:
```
14
Lattice="3.996 0.000 0.000 0.000 7.791 0.000 0.000 0.000 7.791" Properties=species:S:1:pos:R:3 pbc="T T T"
Cu 1.998 2.268 2.268
Al 1.998 6.498 3.224
Ce 0.000 3.895 3.895
Al 0.000 0.672 2.602
Al 1.998 4.567 1.293
Al 1.998 1.293 4.567
Cu 1.998 5.523 5.523
Al 0.000 2.602 0.672
Cu 0.000 1.628 6.163
Al 0.000 7.119 5.188
Al 1.998 3.224 6.498
Cu 0.000 6.163 1.628
Al 0.000 5.188 7.119
Ce 1.998 0.000 0.000
```

Properties
Its total moment is 0.11 μB per atom.

Question: which arrangement is favored energetically? Ranking from most to least stable: entry P, entry Q.

Entry P
Below is crystalline CeAlGaCu at its relaxed geometry, with properties calculated at the PBE-GGA level.

extended XYZ file:
```
4
Lattice="-2.212 -2.490 -2.502 1.293 -0.720 -3.894 2.494 -5.273 -0.425" Properties=species:S:1:pos:R:3 pbc="T T T"
Al -0.027 -3.020 -3.907
Ga 2.334 -5.034 -0.522
Ce 0.717 -5.667 -5.399
Cu -0.066 -1.430 -1.986
```

Properties
Its total moment is 0.12 μB per atom.

Entry Q
Below is crystalline CeAlGaCu at its relaxed geometry, with properties calculated at the PBE-GGA level.

extended XYZ file:
```
4
Lattice="4.738 0.000 0.000 2.369 4.103 0.000 2.369 1.368 3.868" Properties=species:S:1:pos:R:3 pbc="T T T"
Al 4.738 2.735 1.934
Cu 2.369 1.368 0.967
Ce 0.000 0.000 0.000
Ga 7.106 4.103 2.901
```

Properties
Its total moment is 0.00 μB per atom.

Question: which arrangement is favored energetically? Ranking from most to least stable: entry P, entry Q.